The following is a DFT calculation (PBE) of a relaxed CdNiHgPb2 crystal.

Values from the calculation:
* E_tot: -2.740 eV/atom
* energy relative to the elements: 0.7 eV per formula unit
* ΔE to the lowest computed polymorph: 50 meV/atom
* symmetry: P4/mmm
* calculated density: 9.623 Mg/m³
* calculated volume: 135.65 Å³ per cell
* crystal system: tetragonal
* density of states at the Fermi level: 2.7 states/eV/f.u.

a = 5.149 Å, b = 5.149 Å, c = 5.116 Å
α = 90.00°, β = 90.00°, γ = 90.00°
Element x y z (fractional)
Cd: 0.000 0.000 0.000
Ni: 0.500 0.500 0.500
Hg: 0.500 0.500 0.000
Pb: 0.000 0.500 0.500
Pb: 0.500 0.000 0.500

---

The following is a DFT calculation (PBE) of a relaxed CdNiHgPb2 crystal.

Values from the calculation:
* E_tot: -2.791 eV/atom
* energy relative to the elements: 0.5 eV per formula unit
* ΔE to the lowest computed polymorph: 0 meV/atom
* symmetry: P4/mmm
* calculated density: 9.687 Mg/m³
* calculated volume: 134.76 Å³ per cell
* crystal system: tetragonal
* density of states at the Fermi level: 3.1 states/eV/f.u.

a = 5.135 Å, b = 5.135 Å, c = 5.111 Å
α = 90.00°, β = 90.00°, γ = 90.00°
Element x y z (fractional)
Cd: 0.000 0.000 0.000
Ni: 0.000 0.000 0.500
Hg: 0.500 0.500 0.000
Pb: 0.000 0.500 0.500
Pb: 0.500 0.000 0.500

---

The following is a DFT calculation (PBE) of a relaxed CdNiHgPd crystal.

Values from the calculation:
* E_tot: -3.091 eV/atom
* energy relative to the elements: -0.2 eV per formula unit
* symmetry: F-43m
* calculated density: 11.771 Mg/m³
* calculated volume: 67.45 Å³ per cell
* crystal system: cubic
* density of states at the Fermi level: 2.2 states/eV/f.u.

a = 4.569 Å, b = 4.569 Å, c = 4.569 Å
α = 60.00°, β = 60.00°, γ = 60.00°
Element x y z (fractional)
Cd: 0.000 0.000 0.000
Ni: 0.250 0.250 0.250
Hg: 0.500 0.500 0.500
Pd: 0.750 0.750 0.750

---

The following is a DFT calculation (PBE) of a relaxed PrCdNiHg crystal.

Values from the calculation:
* E_tot: -3.117 eV/atom
* energy relative to the elements: -0.7 eV per formula unit
* symmetry: F-43m
* calculated density: 9.613 Mg/m³
* calculated volume: 88.55 Å³ per cell
* crystal system: cubic
* density of states at the Fermi level: 3.7 states/eV/f.u.

a = 5.003 Å, b = 5.003 Å, c = 5.003 Å
α = 60.00°, β = 60.00°, γ = 60.00°
Element x y z (fractional)
Pr: 0.000 0.000 0.000
Cd: 0.500 0.500 0.500
Ni: 0.250 0.250 0.250
Hg: 0.750 0.750 0.750

---

The following is a DFT calculation (PBE) of a relaxed CdNiHgPt crystal.

Values from the calculation:
* E_tot: -3.235 eV/atom
* energy relative to the elements: 0.1 eV per formula unit
* symmetry: F-43m
* calculated density: 13.830 Mg/m³
* calculated volume: 68.05 Å³ per cell
* crystal system: cubic
* density of states at the Fermi level: 2.5 states/eV/f.u.

a = 4.583 Å, b = 4.583 Å, c = 4.583 Å
α = 60.00°, β = 60.00°, γ = 60.00°
Element x y z (fractional)
Cd: 0.000 0.000 0.000
Ni: 0.750 0.750 0.750
Hg: 0.500 0.500 0.500
Pt: 0.250 0.250 0.250

---

The following is a DFT calculation (PBE) of a relaxed RbCdNiHg2 crystal.

Values from the calculation:
* E_tot: -1.737 eV/atom
* energy relative to the elements: -0.4 eV per formula unit
* symmetry: P4/mmm
* calculated density: 7.742 Mg/m³
* calculated volume: 141.08 Å³ per cell
* crystal system: tetragonal
* density of states at the Fermi level: 1.7 states/eV/f.u.

a = 5.230 Å, b = 5.230 Å, c = 5.159 Å
α = 90.00°, β = 90.00°, γ = 90.00°
Element x y z (fractional)
Rb: 0.000 0.000 0.000
Cd: 0.500 0.500 0.000
Ni: 0.500 0.500 0.500
Hg: 0.000 0.500 0.500
Hg: 0.500 0.000 0.500

---

The following is a DFT calculation (PBE) of a relaxed RbCd2NiHg crystal.

Values from the calculation:
* E_tot: -1.820 eV/atom
* energy relative to the elements: -0.2 eV per formula unit
* symmetry: P4/mmm
* calculated density: 6.760 Mg/m³
* calculated volume: 139.90 Å³ per cell
* crystal system: tetragonal
* density of states at the Fermi level: 1.7 states/eV/f.u.

a = 5.170 Å, b = 5.170 Å, c = 5.234 Å
α = 90.00°, β = 90.00°, γ = 90.00°
Element x y z (fractional)
Rb: 0.000 0.000 0.000
Cd: 0.000 0.500 0.500
Cd: 0.500 0.000 0.500
Ni: 0.500 0.500 0.500
Hg: 0.500 0.500 0.000

---

The following is a DFT calculation (PBE) of a relaxed CdNiHgRh crystal.

Values from the calculation:
* E_tot: -3.512 eV/atom
* energy relative to the elements: 0.3 eV per formula unit
* symmetry: F-43m
* calculated density: 11.981 Mg/m³
* calculated volume: 65.78 Å³ per cell
* crystal system: cubic
* density of states at the Fermi level: 1.3 states/eV/f.u.

a = 4.531 Å, b = 4.531 Å, c = 4.531 Å
α = 60.00°, β = 60.00°, γ = 60.00°
Element x y z (fractional)
Cd: 0.000 0.000 0.000
Ni: 0.750 0.750 0.750
Hg: 0.500 0.500 0.500
Rh: 0.250 0.250 0.250

---

The following is a DFT calculation (PBE) of a relaxed CdNi2HgS crystal.

Values from the calculation:
* E_tot: -3.182 eV/atom
* energy relative to the elements, uncorrected: 1.00 eV per formula unit
* symmetry: P4/mmm
* calculated density: 7.236 Mg/m³
* calculated volume: 106.13 Å³ per cell
* crystal system: tetragonal
* density of states at the Fermi level: 4.3 states/eV/f.u.

a = 4.138 Å, b = 4.138 Å, c = 6.197 Å
α = 90.00°, β = 90.00°, γ = 90.00°
Element x y z (fractional)
Cd: 0.000 0.000 0.000
Ni: 0.000 0.500 0.500
Ni: 0.500 0.000 0.500
Hg: 0.500 0.500 0.000
S: 0.500 0.500 0.500

---

The following is a DFT calculation (PBE) of a relaxed CdNiHg2Sb crystal.

Values from the calculation:
* E_tot: -1.327 eV/atom
* energy relative to the elements, uncorrected: 4.79 eV per formula unit
* symmetry: P4/mmm
* calculated density: 6.975 Mg/m³
* calculated volume: 165.23 Å³ per cell
* crystal system: tetragonal
* density of states at the Fermi level: 7.8 states/eV/f.u.

a = 5.384 Å, b = 5.384 Å, c = 5.701 Å
α = 90.00°, β = 90.00°, γ = 90.00°
Element x y z (fractional)
Cd: 0.000 0.000 0.000
Ni: 0.500 0.500 0.500
Hg: 0.000 0.500 0.000
Hg: 0.500 0.000 0.000
Sb: 0.000 0.000 0.500

---

The following is a DFT calculation (PBE) of a relaxed ScCdNiHg crystal.

Values from the calculation:
* E_tot: -3.519 eV/atom
* energy relative to the elements: -0.7 eV per formula unit
* symmetry: F-43m
* calculated density: 9.337 Mg/m³
* calculated volume: 74.10 Å³ per cell
* crystal system: cubic
* density of states at the Fermi level: 2.9 states/eV/f.u.

a = 4.715 Å, b = 4.715 Å, c = 4.715 Å
α = 60.00°, β = 60.00°, γ = 60.00°
Element x y z (fractional)
Sc: 0.000 0.000 0.000
Cd: 0.500 0.500 0.500
Ni: 0.750 0.750 0.750
Hg: 0.250 0.250 0.250

---

The following is a DFT calculation (PBE) of a relaxed Cd2SiNiHg crystal.

Values from the calculation:
* E_tot: -1.506 eV/atom
* energy relative to the elements, uncorrected: 5.81 eV per formula unit
* symmetry: P4/mmm
* calculated density: 6.124 Mg/m³
* calculated volume: 138.88 Å³ per cell
* crystal system: tetragonal
* density of states at the Fermi level: 5.6 states/eV/f.u.

a = 5.303 Å, b = 5.303 Å, c = 4.938 Å
α = 90.00°, β = 90.00°, γ = 90.00°
Element x y z (fractional)
Cd: 0.000 0.500 0.000
Cd: 0.500 0.000 0.000
Si: 0.000 0.000 0.500
Ni: 0.500 0.500 0.500
Hg: 0.000 0.000 0.000

---

The following is a DFT calculation (PBE) of a relaxed SrCd2NiHg crystal.

Values from the calculation:
* E_tot: -2.084 eV/atom
* energy relative to the elements: -0.8 eV per formula unit
* ΔE to the lowest computed polymorph: 0 meV/atom
* symmetry: P4/mmm
* calculated density: 7.346 Mg/m³
* calculated volume: 129.24 Å³ per cell
* crystal system: tetragonal
* density of states at the Fermi level: 3.0 states/eV/f.u.

a = 5.032 Å, b = 5.032 Å, c = 5.104 Å
α = 90.00°, β = 90.00°, γ = 90.00°
Element x y z (fractional)
Sr: 0.000 0.000 0.000
Cd: 0.000 0.500 0.500
Cd: 0.500 0.000 0.500
Ni: 0.500 0.500 0.500
Hg: 0.500 0.500 0.000

---

The following is a DFT calculation (PBE) of a relaxed SrCd2NiHg crystal.

Values from the calculation:
* E_tot: -1.997 eV/atom
* energy relative to the elements: -0.4 eV per formula unit
* ΔE to the lowest computed polymorph: 87 meV/atom
* symmetry: P4/mmm
* calculated density: 6.749 Mg/m³
* calculated volume: 140.66 Å³ per cell
* crystal system: tetragonal
* density of states at the Fermi level: 2.1 states/eV/f.u.

a = 5.065 Å, b = 5.065 Å, c = 5.484 Å
α = 90.00°, β = 90.00°, γ = 90.00°
Element x y z (fractional)
Sr: 0.000 0.000 0.000
Cd: 0.000 0.500 0.500
Cd: 0.500 0.000 0.500
Ni: 0.000 0.000 0.500
Hg: 0.500 0.500 0.000

---

The following is a DFT calculation (PBE) of a relaxed TbCdNiHg crystal.

Values from the calculation:
* E_tot: -3.118 eV/atom
* energy relative to the elements: -0.8 eV per formula unit
* symmetry: F-43m
* calculated density: 10.704 Mg/m³
* calculated volume: 82.31 Å³ per cell
* crystal system: cubic
* density of states at the Fermi level: 3.3 states/eV/f.u.

a = 4.883 Å, b = 4.883 Å, c = 4.883 Å
α = 60.00°, β = 60.00°, γ = 60.00°
Element x y z (fractional)
Tb: 0.000 0.000 0.000
Cd: 0.500 0.500 0.500
Ni: 0.750 0.750 0.750
Hg: 0.250 0.250 0.250